(1)
Pr6Sb2Pt (GGA-PBE, relaxed); raw formation energy = -0.7441 eV per atom; crystal system = monoclinic; calculated density = 7.32 g/cm3; uncorrected energy = -5.518 eV per atom
1.0
-4.124 -4.517 2.317
4.297 -6.015 -4.080
6.395 -1.082 8.331
Pr Sb Pt
12 4 2
direct
0.875 0.972 0.242 Pr
0.861 0.674 0.544 Pr
0.871 0.684 0.953 Pr
0.629 0.184 0.547 Pr
0.639 0.174 0.956 Pr
0.625 0.472 0.258 Pr
0.125 0.028 0.758 Pr
0.139 0.326 0.456 Pr
0.129 0.316 0.047 Pr
0.371 0.816 0.453 Pr
0.361 0.826 0.044 Pr
0.375 0.528 0.742 Pr
0.908 0.385 0.750 Sb
0.592 0.885 0.750 Sb
0.408 0.115 0.250 Sb
0.092 0.615 0.250 Sb
0.500 0.500 0.000 Pt
0.000 0.000 0.500 Pt

(2)
Pr3Sb4Pt3 (GGA-PBE, relaxed); raw formation energy = -1.0282 eV per atom; crystal system = cubic; calculated density = 9.89 g/cm3; uncorrected energy = -5.923 eV per atom
1.0
8.673 0.000 0.000
-2.891 8.177 0.000
-2.891 -4.088 7.081
Pr Sb Pt
6 8 6
direct
0.875 0.250 0.125 Pr
0.625 0.750 0.375 Pr
0.250 0.125 0.875 Pr
0.750 0.375 0.625 Pr
0.125 0.875 0.250 Pr
0.375 0.625 0.750 Pr
0.661 0.500 0.000 Sb
0.500 0.000 0.661 Sb
0.000 0.661 0.500 Sb
0.839 0.839 0.839 Sb
0.500 0.000 0.161 Sb
0.161 0.500 0.000 Sb
0.000 0.161 0.500 Sb
0.339 0.339 0.339 Sb
0.375 0.250 0.625 Pt
0.125 0.750 0.875 Pt
0.250 0.625 0.375 Pt
0.750 0.875 0.125 Pt
0.625 0.375 0.250 Pt
0.875 0.125 0.750 Pt

(3)
Pr5SbPt2 (GGA-PBE, relaxed); raw formation energy = -0.8816 eV per atom; crystal system = tetragonal; calculated density = 8.73 g/cm3; uncorrected energy = -5.894 eV per atom
1.0
7.403 0.000 -3.495
-1.650 7.217 -3.495
-0.278 -0.349 9.000
Pr Sb Pt
10 2 4
direct
0.519 0.703 0.722 Pr
0.797 0.981 0.278 Pr
0.000 0.000 0.000 Pr
0.500 0.500 0.000 Pr
0.203 0.019 0.722 Pr
0.703 0.203 0.722 Pr
0.019 0.519 0.722 Pr
0.297 0.797 0.278 Pr
0.981 0.481 0.278 Pr
0.481 0.297 0.278 Pr
0.750 0.750 0.500 Sb
0.250 0.250 0.500 Sb
0.135 0.365 0.000 Pt
0.635 0.135 0.000 Pt
0.365 0.865 0.000 Pt
0.865 0.635 0.000 Pt

(4)
Pr3SbPt (GGA-PBE, relaxed); raw formation energy = -0.7845 eV per atom; crystal system = triclinic; calculated density = 7.70 g/cm3; uncorrected energy = -5.685 eV per atom
1.0
-4.067 0.995 3.945
2.117 -7.182 -0.189
5.573 5.796 4.354
Pr Sb Pt
6 2 2
direct
0.162 0.326 0.640 Pr
0.617 0.242 0.877 Pr
0.107 0.213 0.236 Pr
0.838 0.674 0.360 Pr
0.893 0.787 0.764 Pr
0.383 0.758 0.123 Pr
0.373 0.746 0.550 Sb
0.627 0.254 0.450 Sb
0.132 0.272 0.940 Pt
0.868 0.728 0.060 Pt

(5)
Pr2SbPt3 (GGA-PBE, relaxed); raw formation energy = -0.9977 eV per atom; crystal system = orthorhombic; calculated density = 11.62 g/cm3; uncorrected energy = -6.298 eV per atom
1.0
3.842 0.000 0.000
0.000 4.535 0.000
0.000 0.000 8.112
Pr Sb Pt
2 1 3
direct
0.000 0.500 0.978 Pr
0.000 0.000 0.529 Pr
0.500 0.500 0.327 Sb
0.500 0.000 0.839 Pt
0.500 0.000 0.170 Pt
0.500 0.500 0.656 Pt

(6)
PrSbPt6 (GGA-PBE, relaxed); raw formation energy = -0.3860 eV per atom; crystal system = trigonal; calculated density = 13.08 g/cm3; uncorrected energy = -6.029 eV per atom
1.0
-0.264 -1.027 5.362
-2.987 -4.193 1.836
4.516 -5.963 1.866
Pr Sb Pt
1 1 6
direct
0.500 0.500 0.500 Pr
0.000 0.000 0.000 Sb
0.929 0.929 0.703 Pt
0.440 0.929 0.703 Pt
0.071 0.560 0.297 Pt
0.560 0.071 0.297 Pt
0.071 0.071 0.297 Pt
0.929 0.440 0.703 Pt

(7)
PrSbPt (GGA-PBE, relaxed); raw formation energy = -1.1033 eV per atom; crystal system = trigonal; calculated density = 10.03 g/cm3; uncorrected energy = -6.084 eV per atom
1.0
-1.160 -1.952 3.549
4.327 -1.220 0.743
-1.572 3.944 1.656
Pr Sb Pt
1 1 1
direct
0.680 0.667 0.333 Pr
0.191 0.333 0.667 Sb
0.129 0.000 0.000 Pt

(8)
PrSbPt2 (GGA-PBE, relaxed); raw formation energy = -0.8929 eV per atom; crystal system = orthorhombic; calculated density = 12.23 g/cm3; uncorrected energy = -6.139 eV per atom
1.0
-3.580 5.053 -0.785
-2.243 -0.542 6.745
6.026 4.639 2.377
Pr Sb Pt
4 4 8
direct
0.340 0.250 0.030 Pr
0.840 0.750 0.470 Pr
0.660 0.750 0.970 Pr
0.160 0.250 0.530 Pr
0.660 0.250 0.397 Sb
0.160 0.750 0.103 Sb
0.340 0.750 0.603 Sb
0.840 0.250 0.897 Sb
0.937 0.048 0.202 Pt
0.437 0.952 0.298 Pt
0.063 0.548 0.798 Pt
0.563 0.452 0.702 Pt
0.063 0.952 0.798 Pt
0.563 0.048 0.702 Pt
0.937 0.452 0.202 Pt
0.437 0.548 0.298 Pt

(9)
PrSbPt10 (GGA-PBE, relaxed); raw formation energy = -0.3401 eV per atom; crystal system = orthorhombic; calculated density = 16.37 g/cm3; uncorrected energy = -6.116 eV per atom
1.0
-2.004 0.377 3.995
0.904 -5.237 0.948
8.148 2.111 3.888
Pr Sb Pt
1 1 10
direct
0.000 0.000 0.000 Pr
0.000 0.500 0.500 Sb
0.000 0.000 0.340 Pt
0.000 0.500 0.821 Pt
0.000 0.500 0.179 Pt
0.000 0.000 0.660 Pt
0.500 0.000 0.500 Pt
0.500 0.500 0.000 Pt
0.500 0.247 0.248 Pt
0.500 0.753 0.752 Pt
0.500 0.753 0.248 Pt
0.500 0.247 0.752 Pt

(10)
Pr6Sb3Pt (GGA-PBE, relaxed); raw formation energy = -0.7747 eV per atom; crystal system = orthorhombic; calculated density = 6.79 g/cm3; uncorrected energy = -5.483 eV per atom
1.0
7.630 0.000 0.000
0.000 9.649 -0.140
0.000 -2.289 9.374
Pr Sb Pt
12 6 2
direct
0.162 0.711 0.634 Pr
0.662 0.634 0.711 Pr
0.190 0.422 0.901 Pr
0.690 0.901 0.422 Pr
0.263 0.994 0.006 Pr
0.678 0.247 0.753 Pr
0.178 0.753 0.247 Pr
0.763 0.006 0.994 Pr
0.190 0.099 0.578 Pr
0.690 0.578 0.099 Pr
0.162 0.366 0.289 Pr
0.662 0.289 0.366 Pr
0.485 0.931 0.712 Sb
0.985 0.712 0.931 Sb
0.362 0.405 0.595 Sb
0.862 0.595 0.405 Sb
0.985 0.069 0.288 Sb
0.485 0.288 0.069 Sb
0.009 0.150 0.850 Pt
0.509 0.850 0.150 Pt

(11)
PrSbPt5 (GGA-PBE, relaxed); raw formation energy = -0.6185 eV per atom; crystal system = orthorhombic; calculated density = 15.33 g/cm3; uncorrected energy = -6.205 eV per atom
1.0
-3.765 -4.111 0.175
4.612 -4.482 -6.089
5.675 -4.862 7.877
Pr Sb Pt
4 4 20
direct
0.250 0.251 0.948 Pr
0.750 0.249 0.448 Pr
0.250 0.751 0.552 Pr
0.750 0.749 0.052 Pr
0.250 0.842 0.849 Sb
0.750 0.658 0.349 Sb
0.250 0.342 0.651 Sb
0.750 0.158 0.151 Sb
0.250 0.588 0.020 Pt
0.750 0.912 0.520 Pt
0.250 0.088 0.480 Pt
0.750 0.412 0.980 Pt
0.750 0.324 0.729 Pt
0.250 0.176 0.229 Pt
0.750 0.824 0.771 Pt
0.250 0.676 0.271 Pt
0.250 0.924 0.077 Pt
0.750 0.576 0.577 Pt
0.250 0.424 0.423 Pt
0.750 0.076 0.923 Pt
0.993 0.432 0.202 Pt
0.007 0.068 0.702 Pt
0.507 0.932 0.298 Pt
0.493 0.568 0.798 Pt
0.007 0.568 0.798 Pt
0.993 0.932 0.298 Pt
0.493 0.068 0.702 Pt
0.507 0.432 0.202 Pt

(12)
Pr7Sb2Pt2 (GGA-PBE, relaxed); raw formation energy = -0.6601 eV per atom; crystal system = orthorhombic; calculated density = 7.47 g/cm3; uncorrected energy = -5.549 eV per atom
1.0
-3.748 -5.908 -1.820
5.740 -4.026 1.248
-1.043 0.719 7.118
Pr Sb Pt
7 2 2
direct
0.000 0.259 0.500 Pr
0.500 0.741 0.000 Pr
0.000 0.741 0.500 Pr
0.500 0.259 0.000 Pr
0.000 0.000 0.000 Pr
0.500 0.762 0.500 Pr
0.500 0.238 0.500 Pr
0.809 0.500 0.809 Sb
0.191 0.500 0.191 Sb
0.726 0.000 0.274 Pt
0.274 0.000 0.726 Pt

(13)
Pr3Sb4Pt7 (GGA-PBE, relaxed); raw formation energy = -0.8843 eV per atom; crystal system = monoclinic; calculated density = 12.58 g/cm3; uncorrected energy = -6.107 eV per atom
1.0
5.841 0.438 6.444
7.299 3.240 3.472
0.819 7.455 7.430
Pr Sb Pt
3 4 7
direct
0.171 0.171 0.341 Pr
0.829 0.829 0.659 Pr
0.500 0.500 0.000 Pr
0.361 0.361 0.868 Sb
0.639 0.639 0.132 Sb
0.173 0.173 0.680 Sb
0.827 0.827 0.320 Sb
0.170 0.170 0.932 Pt
0.830 0.830 0.068 Pt
0.984 0.984 0.712 Pt
0.016 0.016 0.288 Pt
0.378 0.378 0.399 Pt
0.622 0.622 0.601 Pt
0.500 0.500 0.500 Pt

(14)
PrSbPt (GGA-PBE, relaxed); raw formation energy = -1.1198 eV per atom; crystal system = hexagonal; calculated density = 10.16 g/cm3; uncorrected energy = -6.101 eV per atom
1.0
4.590 0.000 0.000
-2.295 3.975 0.000
0.000 0.000 8.206
Pr Sb Pt
2 2 2
direct
0.000 0.000 0.748 Pr
0.000 0.000 0.248 Pr
0.667 0.333 0.987 Sb
0.333 0.667 0.487 Sb
0.667 0.333 0.539 Pt
0.333 0.667 0.039 Pt

(15)
PrSb3Pt3 (GGA-PBE, relaxed); raw formation energy = -0.3547 eV per atom; crystal system = cubic; calculated density = 9.39 g/cm3; uncorrected energy = -5.393 eV per atom
1.0
-3.085 -6.322 -1.881
2.781 0.636 -6.700
5.981 -3.557 2.145
Pr Sb Pt
2 6 6
direct
0.500 0.500 0.500 Pr
0.000 0.000 0.000 Pr
0.250 0.000 0.500 Sb
0.000 0.500 0.250 Sb
0.500 0.750 0.000 Sb
0.750 0.000 0.500 Sb
0.000 0.500 0.750 Sb
0.500 0.250 0.000 Sb
0.000 0.250 0.500 Pt
0.000 0.750 0.500 Pt
0.500 0.000 0.750 Pt
0.750 0.500 0.000 Pt
0.500 0.000 0.250 Pt
0.250 0.500 0.000 Pt

(16)
PrSbPt (GGA-PBE, relaxed); raw formation energy = -0.6293 eV per atom; crystal system = tetragonal; calculated density = 9.79 g/cm3; uncorrected energy = -5.610 eV per atom
1.0
4.147 0.000 0.000
0.000 4.147 0.000
-2.074 -2.074 4.513
Pr Sb Pt
1 1 1
direct
0.625 0.625 0.250 Pr
0.962 0.962 0.925 Sb
0.263 0.263 0.525 Pt

(17)
PrSb2Pt (GGA-PBE, relaxed); raw formation energy = -0.2113 eV per atom; crystal system = trigonal; calculated density = 8.19 g/cm3; uncorrected energy = -4.978 eV per atom
1.0
-2.507 -2.285 1.553
0.013 -3.633 -0.845
5.298 -3.672 7.631
Pr Sb Pt
1 2 1
direct
0.000 0.000 0.000 Pr
0.110 0.110 0.669 Sb
0.890 0.890 0.331 Sb
0.500 0.500 0.500 Pt

(18)
PrSbPt3 (GGA-PBE, relaxed); raw formation energy = -0.5714 eV per atom; crystal system = hexagonal; calculated density = 11.84 g/cm3; uncorrected energy = -5.976 eV per atom
1.0
-4.949 3.295 0.479
-0.303 -5.932 0.543
2.321 1.273 15.211
Pr Sb Pt
4 4 12
direct
0.333 0.667 0.250 Pr
0.667 0.333 0.750 Pr
0.000 0.000 0.500 Pr
0.000 0.000 0.000 Pr
0.667 0.333 0.130 Sb
0.333 0.667 0.630 Sb
0.333 0.667 0.870 Sb
0.667 0.333 0.370 Sb
0.149 0.299 0.750 Pt
0.299 0.149 0.250 Pt
0.851 0.149 0.250 Pt
0.149 0.851 0.750 Pt
0.701 0.851 0.750 Pt
0.851 0.701 0.250 Pt
0.500 0.500 0.500 Pt
0.500 0.000 0.000 Pt
0.500 0.500 0.000 Pt
0.500 0.000 0.500 Pt
0.000 0.500 0.500 Pt
0.000 0.500 0.000 Pt

(19)
Pr2ScSb3Pt4 (GGA-PBE, relaxed); raw formation energy = -0.9651 eV per atom; crystal system = tetragonal; calculated density = 10.77 g/cm3; uncorrected energy = -6.207 eV per atom
1.0
-2.134 1.515 -3.633
-3.934 -0.961 1.910
-0.339 10.378 4.527
Pr Sc Sb Pt
2 1 3 4
direct
0.500 0.000 0.224 Pr
0.000 0.500 0.776 Pr
0.500 0.500 0.500 Sc
0.000 0.000 0.500 Sb
0.500 0.000 0.866 Sb
0.000 0.500 0.134 Sb
0.500 0.500 0.000 Pt
0.000 0.000 0.000 Pt
0.500 0.000 0.636 Pt
0.000 0.500 0.364 Pt

(20)
Pr2SiSbPt6 (GGA-PBE, relaxed); raw formation energy = -0.9053 eV per atom; crystal system = orthorhombic; calculated density = 12.63 g/cm3; uncorrected energy = -6.440 eV per atom
1.0
-4.172 2.726 2.553
-5.702 -3.464 -5.620
-1.145 -6.713 5.298
Pr Si Sb Pt
4 2 2 12
direct
0.500 0.735 0.246 Pr
0.000 0.265 0.746 Pr
0.500 0.735 0.754 Pr
0.000 0.265 0.254 Pr
0.500 0.243 0.500 Si
0.000 0.757 0.000 Si
0.000 0.718 0.500 Sb
0.500 0.282 0.000 Sb
0.500 0.109 0.250 Pt
0.500 0.109 0.750 Pt
0.000 0.891 0.250 Pt
0.000 0.891 0.750 Pt
0.247 0.008 0.500 Pt
0.753 0.008 0.500 Pt
0.257 0.466 0.500 Pt
0.743 0.466 0.500 Pt
0.757 0.534 0.000 Pt
0.243 0.534 0.000 Pt
0.253 0.992 0.000 Pt
0.747 0.992 0.000 Pt